(1)
# Dy12Pt3O5

An optimized crystal structure of Dy12Pt3O5 (PBE-GGA, Alexandria via LeMat-Bulk).

The structure in extended XYZ format:
```
80
Lattice="13.156 0.000 0.000 -4.385 12.404 0.000 -4.385 -6.202 10.742" Properties=species:S:1:pos:R:3 pbc="T T T"
O 7.674 -0.775 6.714
O -2.193 6.202 0.000
Dy 1.052 1.097 6.335
Pt 7.674 8.528 1.343
O -1.096 10.078 1.343
Pt 1.096 6.202 2.685
Dy -0.684 7.946 0.964
Dy 6.040 6.872 5.596
Dy 2.876 4.458 0.964
Dy -2.273 2.637 6.625
Dy -0.684 4.495 1.029
Dy -5.069 -0.037 8.750
Dy 2.876 7.908 1.029
Dy -1.051 -3.268 7.588
Pt -3.289 -2.326 9.399
Pt 1.096 -0.775 4.028
Dy -0.538 1.020 2.217
Dy 1.509 1.744 9.778
Dy -1.141 7.299 4.407
Dy 3.847 -1.691 3.379
Dy 4.924 5.182 8.524
Dy 0.081 3.955 4.342
O 3.289 2.326 1.343
Pt -5.482 6.202 8.056
O -1.096 0.775 6.714
Dy 5.069 1.706 9.713
Dy 5.437 9.470 3.154
Dy -1.654 -0.671 5.146
Dy 5.527 -1.097 6.335
O 4.385 -3.101 5.371
Dy -2.731 7.222 8.524
O -3.289 6.977 4.028
Dy -2.273 -4.884 10.517
Pt 9.867 0.000 2.685
O -1.096 3.101 2.685
Dy -1.509 0.037 8.750
Dy 2.731 1.691 3.379
O 6.578 0.000 0.000
O 1.096 -3.101 8.056
Dy 5.069 -1.744 9.778
O 4.385 6.202 0.000
Dy -3.847 5.531 5.596
Dy 8.232 0.671 5.146
Dy 6.659 3.565 4.117
O 3.289 9.303 2.685
Dy -1.051 4.365 9.488
Dy 2.112 8.449 4.342
Dy -4.305 4.884 10.517
Pt 3.289 6.977 6.714
Dy 4.305 2.247 6.399
O -4.385 3.101 5.371
O 5.482 -3.876 9.399
O 5.482 3.101 8.056
Dy 1.654 4.511 7.363
Dy 3.334 5.105 4.407
O 2.193 3.101 5.371
Dy -3.244 10.567 1.254
Pt 5.482 0.775 4.028
Dy 5.894 6.164 1.992
O 1.096 3.876 9.399
Dy 0.538 7.892 7.363
Dy 6.659 11.086 0.225
Dy 8.690 1.318 0.225
O 0.000 0.000 0.000
Dy 2.273 -2.247 6.399
Dy 8.852 -2.637 6.625
Dy -4.466 8.839 4.117
Pt 7.674 3.876 1.343
O -2.193 -3.101 5.371
Dy 7.630 -4.365 9.488
O 5.482 5.427 4.028
Dy -5.527 3.268 7.588
Pt 3.289 0.000 8.056
Dy 7.116 -1.020 2.217
Dy 5.437 1.837 1.254
Dy 9.454 6.239 1.992
Dy 9.912 2.933 3.154
Dy 1.509 -1.706 9.713
Pt -1.096 5.427 6.714
Pt -3.289 2.326 9.399
```

Output
Spin magnetization   0.145 μB/atom
Total DFT energy (no corrections)   -6.691 eV per atom
Formation energy (no corrections)   -1.785 eV per atom
Volume   1753 Å³ per cell


(2)
# Dy3Pt5O12

An optimized crystal structure of Dy3Pt5O12 (PBE-GGA, Alexandria via LeMat-Bulk).

The structure in extended XYZ format:
```
80
Lattice="11.171 0.000 0.000 -3.724 10.532 0.000 -3.724 -5.266 9.121" Properties=species:S:1:pos:R:3 pbc="T T T"
O -2.086 -4.063 8.716
Pt 4.654 -3.291 7.981
O 4.803 8.246 2.674
Pt 2.793 1.975 1.140
Pt -2.793 5.924 3.420
O -2.450 5.888 7.234
Dy -2.793 -1.975 7.981
O 7.672 -2.382 5.804
O 2.450 1.310 3.079
Pt 0.931 -2.633 6.841
O 6.174 -0.622 1.886
O 1.273 3.956 6.042
O 3.499 1.681 5.400
O -1.079 -2.980 6.447
O 1.079 0.826 5.203
Dy -4.654 5.266 6.841
O -1.079 3.806 7.877
Pt 3.724 5.266 0.000
O -4.142 -0.114 7.639
O -1.273 -0.689 4.156
O 2.280 6.492 0.839
O 4.506 -0.826 5.203
Pt 0.931 3.291 7.981
O -0.782 6.092 3.918
O -0.419 4.040 0.839
Pt 1.862 2.633 4.560
Dy 0.931 -0.658 3.420
Pt -0.931 8.557 1.140
Dy 4.654 0.658 3.420
O -3.499 4.063 8.716
O 4.142 -1.340 8.478
O 4.312 4.644 7.234
O 3.135 -1.310 3.079
O 0.225 3.585 3.721
O -2.941 9.072 1.244
O -0.588 0.622 1.886
O -1.443 0.114 7.639
O 8.229 2.286 2.674
O 0.588 6.576 6.042
Dy 8.378 0.000 2.280
O -4.506 2.980 6.447
Pt -0.931 2.633 2.280
O -2.086 2.382 5.804
Pt 6.516 -0.658 5.700
Dy 0.931 5.266 2.280
Dy -0.931 4.608 5.700
O 4.997 5.954 4.965
Pt 4.654 4.608 3.420
O 7.866 5.380 1.482
Dy 6.516 7.241 1.140
Pt 0.000 0.000 0.000
O 5.167 5.152 1.482
Dy -2.793 1.975 7.981
Pt 2.793 7.899 2.280
O 7.222 1.203 0.405
Pt 5.585 0.000 0.000
O 5.810 9.329 0.405
O 2.086 -1.681 5.400
O 2.644 4.440 3.918
Dy 6.516 3.291 1.140
O -0.419 6.606 0.642
O -3.948 7.648 3.316
O 6.665 -3.806 7.877
O -3.135 4.577 4.965
Dy 2.793 5.924 5.700
O 1.443 -1.226 8.281
Pt -0.931 0.658 5.700
Pt -1.862 5.266 0.000
O 6.859 0.689 4.156
O 1.637 6.947 3.721
Pt 4.654 2.633 6.841
O 5.810 2.884 3.316
Pt 3.724 -2.633 4.560
Pt -1.862 -2.633 4.560
Pt -3.724 2.633 4.560
O 1.443 1.340 8.478
O 4.803 1.460 1.244
O 4.142 1.226 8.281
O 2.280 3.926 0.642
Dy 2.793 0.000 6.841
```

Output
Spin magnetization   0.086 μB/atom
Total DFT energy (no corrections)   -6.449 eV per atom
Formation energy (no corrections)   -1.274 eV per atom
Volume   1073 Å³ per cell


(3)
# Dy4Pt6O19

An optimized crystal structure of Dy4Pt6O19 (PBE-GGA, Alexandria via LeMat-Bulk).

The structure in extended XYZ format:
```
29
Lattice="7.396 0.000 -2.615 -3.698 6.405 -2.615 0.000 0.000 7.845" Properties=species:S:1:pos:R:3 pbc="T T T"
Dy 5.214 0.000 -1.843
O -0.330 4.512 -2.348
O 4.936 0.000 3.490
O 2.420 4.678 -0.608
Pt -1.261 4.221 1.784
O -2.468 4.275 3.490
O 3.228 2.137 -0.131
Dy 1.091 1.890 0.771
Dy 0.000 0.000 5.530
Dy -2.607 4.515 -1.843
O -1.564 6.161 2.007
O 2.468 4.275 -3.490
O 4.650 4.268 -2.143
O 1.230 2.130 -1.739
O 0.000 0.000 0.000
O -0.856 1.970 4.622
Pt 0.588 5.387 -0.831
Pt 4.959 2.184 0.831
Pt 0.673 3.203 4.398
O -0.044 3.864 0.267
O 2.460 0.000 1.739
O 0.374 4.435 2.882
Pt 3.110 1.018 3.446
Pt 3.025 3.203 -1.784
O -1.230 2.130 1.739
O 5.069 0.244 0.472
O 3.931 1.727 5.099
O 3.935 2.541 2.484
O 1.374 1.893 3.087
```

Output
Spin magnetization   0.056 μB/atom
Total DFT energy (no corrections)   -6.622 eV per atom
Formation energy (no corrections)   -1.489 eV per atom
Volume   372 Å³ per cell


(4)
# Dy3PtO

An optimized crystal structure of Dy3PtO (PBE-GGA, Alexandria via LeMat-Bulk).

The structure in extended XYZ format:
```
5
Lattice="4.664 0.000 0.000 0.000 4.664 0.000 0.000 0.000 4.664" Properties=species:S:1:pos:R:3 pbc="T T T"
Dy 0.000 0.000 2.332
O 0.000 0.000 0.000
Dy 2.332 0.000 0.000
Dy 0.000 2.332 0.000
Pt 2.332 2.332 2.332
```

Output
Spin magnetization   0.000 μB/atom
Total DFT energy (no corrections)   -6.514 eV per atom
Formation energy (no corrections)   -1.553 eV per atom
Volume   101 Å³ per cell


(5)
# DyPt2O6

An optimized crystal structure of DyPt2O6 (PBE-GGA, Alexandria via LeMat-Bulk).

The structure in extended XYZ format:
```
9
Lattice="-0.883 1.180 4.581 -0.630 -5.108 1.195 4.780 2.224 0.348" Properties=species:S:1:pos:R:3 pbc="T T T"
O 1.227 -0.696 1.810
Pt 2.535 0.370 2.921
O 2.212 -3.346 2.683
O 2.040 -1.007 4.313
Pt 0.732 -2.074 3.203
Dy 0.000 0.000 0.000
O -0.862 -0.955 3.740
O 4.129 -0.748 2.383
O 1.055 1.643 3.440
```

Output
Spin magnetization   0.070 μB/atom
Total DFT energy (no corrections)   -6.474 eV per atom
Formation energy (no corrections)   -1.315 eV per atom
Volume   116 Å³ per cell


(6)
# Dy2Pt2O7

An optimized crystal structure of Dy2Pt2O7 (PBE-GGA, Alexandria via LeMat-Bulk).

The structure in extended XYZ format:
```
22
Lattice="-1.589 -5.965 -3.845 4.479 -5.728 0.157 -2.013 -6.098 3.414" Properties=species:S:1:pos:R:3 pbc="T T T"
O -0.438 -7.628 -1.740
Pt 0.549 -11.119 -0.171
O -0.402 -12.134 1.331
O 1.499 -10.105 -1.672
Pt 1.343 -8.137 1.751
O 2.405 -11.973 -0.078
Dy -0.897 -5.273 1.673
O 2.186 -7.526 -0.010
O 0.219 -4.448 -0.068
O -1.308 -10.265 -0.264
O -0.621 -7.686 1.399
Dy -0.685 -5.207 -1.957
O -0.219 -12.076 -1.809
Pt 1.555 -8.070 -1.878
O 1.718 -14.553 -1.741
O -1.089 -14.713 -0.332
O 1.535 -14.610 1.398
Dy 0.110 -2.224 -0.034
Pt -1.691 -8.256 -0.249
O 1.316 -10.163 1.467
O 0.000 0.000 0.000
Dy 2.349 -5.088 0.044
```

Output
Spin magnetization   0.000 μB/atom
Total DFT energy (no corrections)   -7.107 eV per atom
Formation energy (no corrections)   -2.017 eV per atom
Volume   272 Å³ per cell